## LiInFeRu (PBE)

Data for a relaxed LiInFeRu crystal.

E	-5.553	eV per atom
total magnetization	0.779	μB per atom
energy of formation from the pure elements	45	meV/atom
SG	F-43m

Lattice parameters (Å, degrees): 4.3888 4.3888 4.3888 60.00 60.00 60.00
Closest atoms and distances in Å follow each position.
Atoms (fractional coordinates):
Ru  0.0000  0.0000  0.0000  4 Fe 2.69, 4 In 2.69
Li  0.5000  0.5000  0.5000  4 In 2.69, 4 Fe 2.69
Fe  0.7500  0.7500  0.7500  4 Ru 2.69, 4 Li 2.69
In  0.2500  0.2500  0.2500  4 Li 2.69, 4 Ru 2.69

---

## LiInFeSn (PBE)

Data for a relaxed LiInFeSn crystal.

E	-4.240	eV per atom
total magnetization	0.368	μB per atom
energy of formation from the pure elements	40	meV/atom
SG	F-43m

Lattice parameters (Å, degrees): 4.5786 4.5786 4.5786 60.00 60.00 60.00
Closest atoms and distances in Å follow each position.
Atoms (fractional coordinates):
Li  0.0000  0.0000  0.0000  4 In 2.80, 4 Sn 2.80
In  0.7500  0.7500  0.7500  4 Fe 2.80, 4 Li 2.80
Fe  0.5000  0.5000  0.5000  4 Sn 2.80, 4 In 2.80
Sn  0.2500  0.2500  0.2500  4 Li 2.80, 4 Fe 2.80

---

## LiTlInFe2 (PBE)

Data for a relaxed LiTlInFe2 crystal.

E	-3.563	eV per atom
total magnetization	1.171	μB per atom
energy of formation from the pure elements	1226	meV/atom
SG	P4/mmm

Lattice parameters (Å, degrees): 5.0016 5.4146 5.0016 90.00 90.00 90.00
Closest atoms and distances in Å follow each position.
Atoms (fractional coordinates):
Fe  0.5000  0.0000  0.0000  2 Tl 2.50
Fe  0.0000  0.0000  0.5000  2 Tl 2.50
Tl  0.0000  0.0000  0.0000  4 Fe 2.50, 2 In 2.71
In  0.0000  0.5000  0.0000  2 Tl 2.71
Li  0.5000  0.5000  0.5000  4 In 3.54, 8 Fe 3.69

---

## MgIn2Fe (PBE)

Data for a relaxed MgIn2Fe crystal.

E	-3.678	eV per atom
total magnetization	0.656	μB per atom
energy of formation from the pure elements	205	meV/atom
SG	P4/mmm

Lattice parameters (Å, degrees): 4.3088 4.3072 4.2155 90.00 90.00 90.00
Closest atoms and distances in Å follow each position.
Atoms (fractional coordinates):
In  0.0000  0.0000  0.0000  4 Fe 3.01, 4 Mg 3.01, 4 In 3.05
In  0.5000  0.5000  0.0000  4 Mg 3.01, 4 Fe 3.01, 4 In 3.05
Fe  0.0000  0.5000  0.5000  8 In 3.01, 4 Mg 3.05
Mg  0.5000  0.0000  0.5000  8 In 3.01, 4 Fe 3.05

---

## MgIn4Fe (PBE)

Data for a relaxed MgIn4Fe crystal.

E	-2.987	eV per atom
total magnetization	0.458	μB per atom
energy of formation from the pure elements	515	meV/atom
SG	F-43m

Lattice parameters (Å, degrees): 5.9328 5.9328 5.9328 60.00 60.00 60.00
Closest atoms and distances in Å follow each position.
Atoms (fractional coordinates):
In  0.3748  0.3748  0.8755  6 In 2.96-2.97
In  0.8755  0.3748  0.3748  6 In 2.96-2.97
Fe  0.0000  0.0000  0.0000  12 In 3.48, 4 Mg 3.63
In  0.3748  0.8755  0.3748  6 In 2.96-2.97
In  0.3748  0.3748  0.3748  6 In 2.96-2.97
Mg  0.7500  0.7500  0.7500  12 In 3.48, 4 Fe 3.63

---

## MgInFe2 (PBE)

Data for a relaxed MgInFe2 crystal.

E	-5.087	eV per atom
total magnetization	1.127	μB per atom
energy of formation from the pure elements	227	meV/atom
SG	F-43m

Lattice parameters (Å, degrees): 4.4420 4.4420 4.4420 60.00 60.00 60.00
Closest atoms and distances in Å follow each position.
Atoms (fractional coordinates):
Fe  0.0000  0.0000  0.0000  4 Mg 2.72, 4 Fe 2.72
Mg  0.7500  0.7500  0.7500  4 In 2.72, 4 Fe 2.72
In  0.5000  0.5000  0.5000  4 Fe 2.72, 4 Mg 2.72
Fe  0.2500  0.2500  0.2500  4 In 2.72, 4 Fe 2.72

---

- Number 6 is which compound?
  MgInFe2